# 1
A relaxed La2SmTm6 crystal, computed with PBE.

Cell: 14.239 14.175 6.349 Å, 90.00 114.59 90.00°
Space group C2/c (No. 15)
Symmetry-distinct sites (fractional):
1 La 0.150 0.038 0.465 x8
2 Sm 0.000 0.369 0.250 x4
3 Tm 0.058 0.189 0.023 x8
4 Tm 0.127 0.426 0.936 x8
5 Tm 0.203 0.255 0.699 x8

Values from the calculation:
ΔH_f (0 K): 0.202 eV/atom
Total moment: 0.00 Bohr magnetons per cell
Distance to the lowest polymorph of the same formula: 0.120 eV per atom

# 2
A relaxed La16Sm7Tm6 crystal, computed with PBE.

Cell: 16.239 16.239 16.239 Å, 90.00 90.00 90.00°
Space group Fm-3m (No. 225)
Symmetry-distinct sites (fractional):
1 La 0.125 0.125 0.125 x32
2 La 0.150 0.150 0.350 x32
3 Sm 0.000 0.000 0.000 x4
4 Sm 0.000 0.250 0.250 x24
5 Tm 0.000 0.000 0.261 x24

Values from the calculation:
ΔH_f (0 K): 0.203 eV/atom
Total moment: 0.00 Bohr magnetons per cell

# 3
A relaxed LaSm3Tm6 crystal, computed with PBE.

Cell: 9.8594 9.8594 11.5486 Å, 90.00 90.00 120.00°
Space group R3 (No. 146, hexagonal axes)
Symmetry-distinct sites (fractional):
1 La 0.0000 0.0000 0.0000 x3
2 Sm 0.0000 0.0000 0.2515 x3
3 Sm 0.0000 0.0000 0.5000 x3
4 Sm 0.0000 0.0000 0.7482 x3
5 Tm 0.0001 0.3316 0.0005 x9
6 Tm 0.0001 0.6732 0.5004 x9

Values from the calculation:
ΔH_f (0 K): 0.307 eV/atom
Total moment: 0.00 Bohr magnetons per cell
Distance to the lowest polymorph of the same formula: 0.164 eV per atom

# 4
A relaxed La2Sm7Tm3 crystal, computed with PBE.

Cell: 6.438 3.561 17.647 Å, 90.00 95.97 90.00°
Space group P2/m (No. 10)
Symmetry-distinct sites (fractional):
1 La 0.060 0.000 0.170 x2
2 Sm 0.000 0.500 0.500 x1
3 Sm 0.231 0.000 0.668 x2
4 Sm 0.259 0.000 0.997 x2
5 Sm 0.278 0.500 0.338 x2
6 Tm 0.454 0.500 0.842 x2
7 Tm 0.500 0.000 0.500 x1

Values from the calculation:
ΔH_f (0 K): 0.070 eV/atom
Total moment: 0.00 Bohr magnetons per cell
Distance to the lowest polymorph of the same formula: 0.000 eV per atom

# 5
A relaxed La5SmTm3 crystal, computed with PBE.

Cell: 18.933 6.580 11.461 Å, 90.00 115.51 90.00°
Space group C2/c (No. 15)
Symmetry-distinct sites (fractional):
1 La 0.000 0.097 0.250 x4
2 La 0.169 0.197 0.713 x8
3 La 0.170 0.329 0.359 x8
4 Sm 0.000 0.365 0.750 x4
5 Tm 0.000 0.500 0.000 x4
6 Tm 0.159 0.209 0.014 x8

Values from the calculation:
ΔH_f (0 K): 0.246 eV/atom
Total moment: 0.00 Bohr magnetons per cell

# 6
A relaxed LaSmTm2 crystal, computed with PBE.

Cell: 6.144 5.559 8.773 Å, 90.00 98.70 90.00°
Space group P2/m (No. 10)
Symmetry-distinct sites (fractional):
1 La 0.000 0.000 0.000 x1
2 La 0.500 0.500 0.500 x1
3 Sm 0.098 0.500 0.710 x2
4 Tm 0.236 0.000 0.402 x2
5 Tm 0.337 0.500 0.127 x2

Values from the calculation:
ΔH_f (0 K): 0.460 eV/atom
Total moment: 0.00 Bohr magnetons per cell
Distance to the lowest polymorph of the same formula: 0.440 eV per atom

# 7
A relaxed LaSm4Tm4 crystal, computed with PBE.

Cell: 6.245 8.915 10.832 Å, 78.36 89.90 83.18°
Space group P-1 (No. 2)
Symmetry-distinct sites (fractional):
1 La 0.248 0.000 0.249 x2
2 Sm 0.136 0.667 0.474 x2
3 Sm 0.359 0.333 0.697 x2
4 Sm 0.361 0.335 0.026 x2
5 Sm 0.362 0.335 0.360 x2
6 Tm 0.134 0.667 0.136 x2
7 Tm 0.140 0.667 0.807 x2
8 Tm 0.248 0.998 0.918 x2
9 Tm 0.251 0.998 0.585 x2

Values from the calculation:
ΔH_f (0 K): 0.014 eV/atom
Total moment: 0.00 Bohr magnetons per cell
Distance to the lowest polymorph of the same formula: 0.000 eV per atom

# 8
A relaxed La4SmTm crystal, computed with PBE.

Cell: 11.444 6.066 7.186 Å, 90.00 121.84 90.00°
Space group C2/m (No. 12)
Symmetry-distinct sites (fractional):
1 La 0.158 0.000 0.006 x4
2 La 0.176 0.000 0.531 x4
3 Sm 0.000 0.500 0.500 x2
4 Tm 0.000 0.500 0.000 x2

Values from the calculation:
ΔH_f (0 K): 0.102 eV/atom
Total moment: 0.00 Bohr magnetons per cell
Distance to the lowest polymorph of the same formula: 0.006 eV per atom